# CaPm6Pr3Dy2, optimized geometry, DFT PBE
# ΔH_f (0 K) = 0.041 eV/atom
# Density of states at the Fermi level = 17.6 states/eV/cell
# ρ = 6.59 g cm⁻³
# Electronic total energy = -4.46 eV/atom
data_CaPm6Pr3Dy2
_chemical_formula_sum 'Ca1 Pm6 Pr3 Dy2'
_cell_length_a 6.368
_cell_length_b 6.368
_cell_length_c 12.084
_cell_angle_alpha 95.02
_cell_angle_beta 95.02
_cell_angle_gamma 120.03
_symmetry_space_group_name_H-M 'P 1'
_symmetry_Int_Tables_number 1
_symmetry_space_group_name_Hall 'P 1'
loop_
_atom_site_label
_atom_site_type_symbol
_atom_site_fract_x
_atom_site_fract_y
_atom_site_fract_z
Ca1 Ca 0.000 0.000 0.000
Pm1 Pm 0.916 0.575 0.752
Pm2 Pm 0.743 0.743 0.248
Pm3 Pm 0.084 0.425 0.248
Pm4 Pm 0.575 0.916 0.752
Pm5 Pm 0.257 0.257 0.752
Pm6 Pm 0.425 0.084 0.248
Pr1 Pr 0.166 0.834 0.500
Pr2 Pr 0.834 0.166 0.500
Pr3 Pr 0.500 0.500 0.500
Dy1 Dy 0.333 0.667 0.000
Dy2 Dy 0.667 0.333 0.000